Entry 1:
Computed, not measured: a relaxed SrReC3 crystal at the GGA-PBE level of DFT.

## Properties
Size of the total moment (μB/atom): 0.000
Offset from the most stable computed form (meV per atom): 3349
Crystal system: cubic
ΔH_f (0 K) (eV per atom): 4.234

Cell: 4.198 4.198 4.198 Å, 90.00 90.00 90.00°
Atoms (fractional coordinates):
C (0.500, 0.000, 0.000)
Re (0.500, 0.500, 0.500)
C (0.000, 0.500, 0.000)
Sr (0.000, 0.000, 0.000)
C (0.000, 0.000, 0.500)

Entry 2:
Computed, not measured: a relaxed MgBe2Ag2 crystal at the GGA-PBE level of DFT.

## Properties
Size of the total moment (μB/atom): 0.000
Offset from the most stable computed form (meV per atom): 0
Crystal system: tetragonal
ΔH_f (0 K) (eV per atom): 0.050

Cell: 6.881 6.881 2.969 Å, 90.00 90.00 90.00°
Atoms (fractional coordinates):
Mg (0.000, 0.000, 0.000)
Be (0.119, 0.381, 0.000)
Ag (0.173, 0.673, 0.500)
Be (0.619, 0.119, 0.000)
Ag (0.827, 0.327, 0.500)
Be (0.381, 0.881, 0.000)
Mg (0.500, 0.500, 0.000)
Be (0.881, 0.619, 0.000)
Ag (0.673, 0.827, 0.500)
Ag (0.327, 0.173, 0.500)

Entry 3:
Computed, not measured: a relaxed MnBr2Cl crystal at the GGA-PBE level of DFT.

## Properties
Size of the total moment (μB/atom): 1.000
Formation energy (no corrections) (meV/atom): -719
Offset from the most stable computed form (meV per atom): 0
Crystal system: orthorhombic

Cell: 6.163 6.502 10.765 Å, 90.02 90.00 90.00°
Atoms (fractional coordinates):
Br (0.724, 0.431, 0.078)
Mn (0.500, 0.750, 0.094)
Mn (0.000, 0.250, 0.594)
Cl (0.750, 0.875, 0.250)
Br (0.224, 0.069, 0.422)
Mn (0.500, 0.250, 0.906)
Br (0.225, 0.569, 0.578)
Cl (0.250, 0.125, 0.750)
Mn (0.000, 0.750, 0.406)
Br (0.775, 0.431, 0.422)
Br (0.725, 0.931, 0.922)
Cl (0.250, 0.625, 0.250)
Br (0.276, 0.569, 0.922)
Br (0.275, 0.069, 0.078)
Br (0.776, 0.931, 0.578)
Cl (0.750, 0.375, 0.750)

Entry 4:
Computed, not measured: a relaxed PmZrSc2 crystal at the GGA-PBE level of DFT.

## Properties
Size of the total moment (μB/atom): 0.000
Offset from the most stable computed form (meV per atom): 52
Crystal system: tetragonal
ΔH_f (0 K) (eV per atom): 0.082

Cell: 4.622 4.729 4.729 Å, 90.00 90.00 90.00°
Atoms (fractional coordinates):
Zr (0.500, 0.000, 0.000)
Sc (0.000, 0.500, 0.000)
Sc (0.000, 0.000, 0.500)
Pm (0.500, 0.500, 0.500)